The following is a DFT calculation (PBE-GGA) of a relaxed structure of Hf15InPb4.

Computed properties:
- symmetry = No. 123
- V (A^3/atom) = 22.2
- calculated total energy (eV per atom) = -8.378
- D(E_F) (states/eV/atom) = 0.88
- formation energy (eV per atom) = -0.03

Cell and atoms, written as POSCAR:
```
Hf15InPb4
1.0
4.4575 0.0000 0.0000
0.0000 4.4575 0.0000
0.0000 0.0000 22.3658
Hf Pb In
15 4 1
Direct
0.5000 0.5000 0.1981
0.5000 0.0000 0.2990
0.5000 0.5000 0.6004
0.5000 0.0000 0.7010
0.5000 0.5000 0.3996
0.5000 0.5000 0.8019
0.5000 0.0000 0.5000
0.0000 0.5000 0.9022
0.0000 0.5000 0.0978
0.5000 0.5000 0.0000
0.0000 0.5000 0.2990
0.5000 0.0000 0.0978
0.5000 0.0000 0.9022
0.0000 0.5000 0.5000
0.0000 0.5000 0.7010
0.0000 0.0000 0.1993
0.0000 0.0000 0.8007
0.0000 0.0000 0.3994
0.0000 0.0000 0.6006
0.0000 0.0000 0.0000
```